{
  "formula": "SbW2BrF",
  "functional": "GGA+U",
  "state": "relaxed",
  "magmom_total_mub_per_cell": 7.73,
  "dos_at_fermi_per_ev_atom": 0.47,
  "e_tot_ev_per_cell": -14.38,
  "lattice_angstrom": [[5.530, 0.000, 0.000], [0.000, 5.759, 0.000], [0.000, 0.000, 5.530]],
  "species": ["W", "Sb", "Br", "F", "W"],
  "frac_coords": [[0.500, 0.000, 0.000], [0.000, 0.500, 0.000], [0.000, 0.000, 0.000], [0.500, 0.500, 0.500], [0.000, 0.000, 0.500]]
}